(1)
VASP calculation (GGA-PBE) on a geometry-optimized MgRe2Ag structure.

```
MgRe2Ag
1.0
-0.850 0.671 2.533
-1.125 -2.310 -0.993
7.071 -5.036 3.708
Re Ag Mg
2 1 1
direct
0.000 0.000 0.008
0.500 0.500 0.234
0.000 0.000 0.502
0.500 0.500 0.756
```

Output
E ... -7.04 eV per atom
D(E_F) ... 2.40 states/eV/cell
SG ... Cmm2, No. 35
Energy of formation from the pure elements ... 291 meV per atom
Total magnetization ... 0.000 μB/f.u.



(2)
VASP calculation (GGA-PBE) on a geometry-optimized LaCePm2Tl4 structure.

```
LaCePm2Tl4
1.0
5.538 0.000 0.000
2.769 4.796 0.000
2.769 1.599 9.046
Ce Tl La Pm
1 4 1 2
direct
0.500 0.500 0.500
0.874 0.874 0.378
0.126 0.126 0.622
0.376 0.376 0.872
0.624 0.624 0.128
0.000 0.000 0.000
0.250 0.250 0.250
0.750 0.750 0.750
```

Output
E ... -4.08 eV per atom
D(E_F) ... 13.22 states/eV/cell
SG ... R-3m, No. 166
Energy of formation from the pure elements ... -348 meV per atom
Total magnetization ... 1.021 μB/f.u.



(3)
VASP calculation (GGA-PBE) on a geometry-optimized Pm2TlZn5 structure.

```
Pm2TlZn5
1.0
4.456 0.000 0.000
-2.228 8.294 0.000
0.000 0.000 9.114
Pm Tl Zn
4 2 10
direct
0.205 0.410 0.250
0.795 0.590 0.750
0.000 0.000 0.000
0.000 0.000 0.500
0.446 0.892 0.750
0.554 0.108 0.250
0.186 0.372 0.891
0.656 0.312 0.484
0.393 0.786 0.250
0.814 0.628 0.109
0.814 0.628 0.391
0.344 0.688 0.984
0.344 0.688 0.516
0.656 0.312 0.016
0.186 0.372 0.609
0.607 0.214 0.750
```

Output
E ... -2.60 eV per atom
D(E_F) ... 11.44 states/eV/cell
SG ... Cmcm, No. 63
Energy of formation from the pure elements ... -317 meV per atom
Total magnetization ... 0.000 μB/f.u.



(4)
VASP calculation (GGA-PBE) on a geometry-optimized PrTm2Tc structure.

```
PrTm2Tc
1.0
-5.594 -0.786 -2.864
-0.678 -6.795 3.190
-4.164 3.750 7.104
Tc Pr Tm
4 4 8
direct
0.449 0.883 0.250
0.551 0.117 0.750
0.949 0.617 0.750
0.051 0.383 0.250
0.877 0.041 0.250
0.377 0.459 0.750
0.123 0.959 0.750
0.623 0.541 0.250
0.345 0.174 0.436
0.155 0.674 0.064
0.655 0.826 0.564
0.345 0.174 0.064
0.155 0.674 0.436
0.655 0.826 0.936
0.845 0.326 0.936
0.845 0.326 0.564
```

Output
E ... -6.10 eV per atom
D(E_F) ... 13.19 states/eV/cell
SG ... Pnma, No. 62
Energy of formation from the pure elements ... -77 meV per atom
Relative energy among the computed polymorphs ... 0.00 eV/f.u.
Total magnetization ... 0.000 μB/f.u.